Entry i
Density functional theory data (GGA+U) for a relaxed structure of NaCaVO4.

V ... 202.4 Å³ per cell

a b c (Å): 5.574 5.574 7.202
angles (deg): 90.00 90.00 115.28
Fractional positions:
O  0.797  0.722  0.250
Na  0.821  0.179  0.250
Na  0.179  0.821  0.750
O  0.255  0.745  0.056
V  0.852  0.148  0.750
Ca  0.500  0.500  0.000
O  0.278  0.203  0.250
O  0.255  0.745  0.444
V  0.148  0.852  0.250
Ca  0.500  0.500  0.500
O  0.722  0.797  0.750
O  0.745  0.255  0.556
O  0.745  0.255  0.944
O  0.203  0.278  0.750

***

Entry ii
Density functional theory data (GGA+U) for a relaxed structure of NaCaVO4.

V ... 243.2 Å³ per cell

a b c (Å): 6.022 5.880 6.869
angles (deg): 90.00 90.88 90.00
Fractional positions:
O  0.463  0.250  0.823
O  0.136  0.517  0.321
V  0.683  0.250  0.660
O  0.136  0.983  0.321
O  0.442  0.750  0.566
Ca  0.182  0.250  0.578
V  0.317  0.750  0.340
Na  0.362  0.250  0.138
Na  0.638  0.750  0.862
Ca  0.818  0.750  0.422
O  0.864  0.017  0.679
O  0.537  0.750  0.177
O  0.864  0.483  0.679
O  0.558  0.250  0.434

***

The most stable structure shown above is entry i; the least stable is entry ii.